No. 1
{"formula": "Ba2Pt", "functional": "PBE", "state": "relaxed", "lattice": [[7.751, 0.000, 0.000], [0.000, 7.751, 0.000], [0.000, 0.000, 7.751]], "species": ["Ba", "Ba", "Ba", "Ba", "Ba", "Ba", "Ba", "Ba", "Pt", "Pt", "Pt", "Pt"], "fractional_positions": [[0.250, 0.250, 0.250], [0.250, 0.250, 0.750], [0.250, 0.750, 0.250], [0.250, 0.750, 0.750], [0.750, 0.250, 0.250], [0.750, 0.250, 0.750], [0.750, 0.750, 0.250], [0.750, 0.750, 0.750], [0.000, 0.000, 0.000], [0.000, 0.500, 0.500], [0.500, 0.000, 0.500], [0.500, 0.500, 0.000]], "e_form_mev_per_atom": -591, "space_group": "Fm-3m (225)", "dos_at_fermi_per_ev_fu": 1.77}

No. 2
{"formula": "Na4ErU3S8", "functional": "PBE", "state": "relaxed", "lattice": [[3.952, 2.282, 6.763], [-3.952, 2.282, 6.763], [0.000, -4.564, 6.763]], "species": ["Na", "Na", "Na", "Na", "Er", "U", "U", "U", "S", "S", "S", "S", "S", "S", "S", "S"], "fractional_positions": [[0.000, 0.000, 0.000], [0.000, 0.500, 0.500], [0.500, 0.000, 0.500], [0.500, 0.500, 0.000], [0.500, 0.500, 0.500], [0.000, 0.000, 0.500], [0.000, 0.500, 0.000], [0.500, 0.000, 0.000], [0.244, 0.244, 0.244], [0.247, 0.741, 0.741], [0.259, 0.259, 0.753], [0.259, 0.753, 0.259], [0.741, 0.247, 0.741], [0.741, 0.741, 0.247], [0.753, 0.259, 0.259], [0.756, 0.756, 0.756]], "raw_formation_energy_ev_per_atom": -1.46, "space_group": "R-3m (166)", "dos_at_fermi_per_ev_fu": 13.17}

No. 3
{"formula": "Ce2Ga4Ni3Rh", "functional": "PBE", "state": "relaxed", "lattice": [[4.108, 0.000, 0.000], [0.000, 4.108, 0.000], [0.000, 0.000, 10.178]], "species": ["Ce", "Ce", "Ga", "Ga", "Ga", "Ga", "Ni", "Ni", "Ni", "Rh"], "fractional_positions": [[0.000, 0.500, 0.244], [0.500, 0.000, 0.756], [0.000, 0.000, 0.000], [0.000, 0.500, 0.633], [0.500, 0.000, 0.367], [0.500, 0.500, 0.000], [0.000, 0.500, 0.867], [0.500, 0.000, 0.133], [0.500, 0.500, 0.500], [0.000, 0.000, 0.500]], "e_form_mev_per_atom": -609, "space_group": "P-4m2 (115)", "dos_at_fermi_per_ev_fu": 10.46}

No. 4
{"formula": "TaCr2Cl", "functional": "PBE", "state": "relaxed", "lattice": [[4.492, 0.000, 0.000], [0.000, 4.492, 0.000], [0.000, 0.000, 3.093]], "species": ["Ta", "Cr", "Cr", "Cl"], "fractional_positions": [[0.000, 0.000, 0.000], [0.000, 0.500, 0.500], [0.500, 0.000, 0.500], [0.500, 0.500, 0.000]], "raw_formation_energy_ev_per_atom": 0.73, "space_group": "P4/mmm (123)", "relative_energy_kj_per_mol_atoms": 61.98, "dos_at_fermi_per_ev_fu": 3.73}

No. 5
{"formula": "PrSc2Ni", "functional": "PBE", "state": "relaxed", "lattice": [[3.286, 0.000, 0.000], [0.000, 3.286, 0.000], [0.000, 0.000, 8.391]], "species": ["Pr", "Sc", "Sc", "Ni"], "fractional_positions": [[0.000, 0.000, 0.000], [0.500, 0.500, 0.322], [0.500, 0.500, 0.678], [0.000, 0.000, 0.500]], "e_form_mev_per_atom": -202, "space_group": "P4/mmm (123)", "relative_energy_kj_per_mol_atoms": 0.00, "dos_at_fermi_per_ev_fu": 3.95}

No. 6
{"formula": "Tm4IrPb", "functional": "PBE", "state": "relaxed", "lattice": [[5.631, 0.000, 0.000], [0.000, 6.651, 0.000], [-1.582, 0.000, 8.408]], "species": ["Tm", "Tm", "Tm", "Tm", "Tm", "Tm", "Tm", "Tm", "Ir", "Ir", "Pb", "Pb"], "fractional_positions": [[0.144, 0.250, 0.061], [0.209, 0.750, 0.344], [0.331, 0.507, 0.766], [0.331, 0.993, 0.766], [0.669, 0.007, 0.234], [0.669, 0.493, 0.234], [0.791, 0.250, 0.656], [0.856, 0.750, 0.939], [0.353, 0.750, 0.042], [0.647, 0.250, 0.958], [0.229, 0.250, 0.430], [0.771, 0.750, 0.570]], "e_form_mev_per_atom": -566, "space_group": "P2_1/m (11)", "relative_energy_kj_per_mol_atoms": 1.33, "dos_at_fermi_per_ev_fu": 4.79}

No. 7
{"formula": "VTe4Mo", "functional": "PBE", "state": "relaxed", "lattice": [[7.849, -2.681, 0.000], [7.849, 2.681, 0.000], [-2.634, 0.000, 8.541]], "species": ["V", "V", "Te", "Te", "Te", "Te", "Te", "Te", "Te", "Te", "Mo", "Mo"], "fractional_positions": [[0.119, 0.119, 0.203], [0.881, 0.881, 0.797], [0.065, 0.065, 0.878], [0.159, 0.159, 0.497], [0.276, 0.276, 0.133], [0.402, 0.402, 0.853], [0.598, 0.598, 0.147], [0.724, 0.724, 0.867], [0.841, 0.841, 0.503], [0.935, 0.935, 0.122], [0.225, 0.225, 0.795], [0.775, 0.775, 0.205]], "raw_formation_energy_ev_per_atom": 0.07, "space_group": "C2/m (12)", "relative_energy_kj_per_mol_atoms": 34.07, "dos_at_fermi_per_ev_fu": 6.12}

No. 8
{"formula": "Er2PbS4", "functional": "PBE", "state": "relaxed", "lattice": [[3.953, -14.290, 0.000], [3.953, 14.290, 0.000], [0.000, 0.000, 12.183]], "species": ["Er", "Er", "Er", "Er", "Er", "Er", "Er", "Er", "Er", "Er", "Er", "Er", "Er", "Er", "Er", "Er", "Pb", "Pb", "Pb", "Pb", "Pb", "Pb", "Pb", "Pb", "S", "S", "S", "S", "S", "S", "S", "S", "S", "S", "S", "S", "S", "S", "S", "S", "S", "S", "S", "S", "S", "S", "S", "S", "S", "S", "S", "S", "S", "S", "S", "S"], "fractional_positions": [[0.068, 0.932, 0.500], [0.069, 0.430, 0.870], [0.172, 0.329, 0.348], [0.175, 0.825, 0.019], [0.325, 0.675, 0.517], [0.329, 0.172, 0.848], [0.430, 0.069, 0.370], [0.432, 0.568, 0.992], [0.568, 0.432, 0.492], [0.570, 0.931, 0.870], [0.671, 0.828, 0.348], [0.675, 0.325, 0.017], [0.825, 0.175, 0.519], [0.828, 0.671, 0.848], [0.931, 0.570, 0.370], [0.932, 0.068, 0.000], [0.037, 0.963, 0.203], [0.041, 0.459, 0.176], [0.453, 0.547, 0.644], [0.459, 0.041, 0.676], [0.541, 0.959, 0.176], [0.547, 0.453, 0.144], [0.959, 0.541, 0.676], [0.963, 0.037, 0.703], [0.013, 0.484, 0.472], [0.017, 0.983, 0.898], [0.139, 0.362, 0.559], [0.142, 0.858, 0.810], [0.160, 0.334, 0.848], [0.162, 0.838, 0.521], [0.209, 0.791, 0.230], [0.211, 0.294, 0.139], [0.291, 0.709, 0.730], [0.294, 0.211, 0.639], [0.334, 0.160, 0.348], [0.339, 0.661, 0.019], [0.358, 0.642, 0.308], [0.362, 0.139, 0.059], [0.479, 0.521, 0.415], [0.484, 0.013, 0.972], [0.516, 0.987, 0.472], [0.521, 0.479, 0.915], [0.638, 0.861, 0.559], [0.642, 0.358, 0.808], [0.661, 0.339, 0.519], [0.666, 0.840, 0.848], [0.706, 0.789, 0.139], [0.709, 0.291, 0.230], [0.789, 0.706, 0.639], [0.791, 0.209, 0.730], [0.838, 0.162, 0.021], [0.840, 0.666, 0.348], [0.858, 0.142, 0.310], [0.861, 0.638, 0.059], [0.983, 0.017, 0.398], [0.987, 0.516, 0.972]], "raw_formation_energy_ev_per_atom": -1.64, "space_group": "Cmc2_1 (36)", "relative_energy_kj_per_mol_atoms": 0.00, "dos_at_fermi_per_ev_fu": 0.00}

No. 9
{"formula": "MgPaGa2Ni5", "functional": "PBE", "state": "relaxed", "lattice": [[3.902, 0.000, 0.000], [0.000, 3.902, 0.000], [0.000, 0.000, 8.898]], "species": ["Mg", "Pa", "Ga", "Ga", "Ni", "Ni", "Ni", "Ni", "Ni"], "fractional_positions": [[0.000, 0.000, 0.000], [0.000, 0.000, 0.500], [0.500, 0.500, 0.136], [0.500, 0.500, 0.864], [0.000, 0.500, 0.294], [0.000, 0.500, 0.706], [0.500, 0.000, 0.294], [0.500, 0.000, 0.706], [0.500, 0.500, 0.500]], "e_form_mev_per_atom": -308, "space_group": "P4/mmm (123)", "dos_at_fermi_per_ev_fu": 4.12}

No. 10
{"formula": "Th2ScAl4Pt3", "functional": "PBE", "state": "relaxed", "lattice": [[4.227, 0.000, 0.000], [0.000, 4.227, 0.000], [0.000, 0.000, 11.310]], "species": ["Th", "Th", "Sc", "Al", "Al", "Al", "Al", "Pt", "Pt", "Pt"], "fractional_positions": [[0.000, 0.500, 0.234], [0.500, 0.000, 0.766], [0.000, 0.000, 0.500], [0.000, 0.000, 0.000], [0.000, 0.500, 0.653], [0.500, 0.000, 0.347], [0.500, 0.500, 0.000], [0.000, 0.500, 0.872], [0.500, 0.000, 0.128], [0.500, 0.500, 0.500]], "e_form_mev_per_atom": -943, "space_group": "P-4m2 (115)", "dos_at_fermi_per_ev_fu": 7.48}